(1)
PBEsol Y2V2O7, optimized geometry; ΔE_f (raw) = -2.982 eV per atom; energy relative to the lowest polymorph listed for this composition = 0 meV per atom; calculated density = 5.29 g/cm3
1.0
-3.745 -5.921 -0.624
3.264 -6.230 -0.120
-0.586 -4.383 5.470
Y V O
4 4 14
Cartesian
-0.667 -10.334 2.954 Y
-0.374 -8.142 0.219 Y
-2.299 -7.219 3.014 Y
1.206 -7.373 3.266 Y
-0.426 -4.259 3.326 V
1.499 -5.182 0.531 V
-0.133 -2.067 0.591 V
-2.006 -5.027 0.279 V
-1.807 -4.960 2.188 O
-1.569 -3.182 -0.030 O
-0.245 -5.708 -0.078 O
1.273 -3.307 0.175 O
-0.502 -10.576 0.516 O
-2.443 -6.873 0.587 O
-0.565 -5.958 4.210 O
-0.533 -8.267 2.363 O
1.376 -9.662 4.139 O
1.036 -5.085 2.393 O
-0.288 -2.559 2.441 O
-0.800 -12.401 3.545 O
-2.791 -9.479 3.839 O
1.724 -7.056 0.887 O

***

(2)
PBEsol Sr2ScCu, optimized geometry; formation energy from the elements = 0.257 eV per atom; calculated density = 3.93 g/cm3
1.0
3.641 0.000 0.000
0.000 3.641 0.000
0.000 0.000 9.050
Cu Sc Sr
1 1 2
Cartesian
1.820 1.820 0.000 Cu
1.820 1.820 4.525 Sc
0.000 0.000 7.216 Sr
0.000 0.000 1.834 Sr

***

(3)
PBEsol CaHfZn2F, optimized geometry; ΔE_f (raw) = -0.143 eV per atom; calculated density = 5.57 g/cm3
1.0
3.903 0.000 0.000
0.000 5.307 0.000
0.000 0.000 5.307
Zn Hf Ca F
2 1 1 1
Cartesian
0.000 0.000 2.653 Zn
0.000 2.653 0.000 Zn
1.951 2.653 2.653 Hf
0.000 0.000 0.000 Ca
1.951 0.000 0.000 F

***

(4)
PBEsol MnTcIr2, optimized geometry; formation energy from the elements = -0.102 eV per atom; energy relative to the lowest polymorph listed for this composition = 62 meV per atom; calculated density = 16.77 g/cm3
1.0
-2.126 1.322 -0.913
1.869 -2.166 -3.601
-2.756 -3.337 1.587
Ir Mn Tc
2 1 1
Cartesian
-2.990 -4.148 -2.935 Ir
-1.386 -0.987 -2.091 Ir
-0.554 -3.146 -3.268 Mn
-1.670 -3.254 -0.824 Tc

***

(5)
PBEsol Sr3GeBi, optimized geometry; formation energy from the elements = -0.457 eV per atom; calculated density = 4.55 g/cm3
1.0
-1.517 0.765 -5.584
-1.318 -5.670 -0.419
-5.480 1.152 1.647
Sr Ge Bi
3 1 1
Cartesian
-0.659 -2.835 -0.210 Sr
-2.740 0.576 0.823 Sr
-0.759 0.383 -2.792 Sr
0.000 0.000 0.000 Ge
-4.157 -1.877 -2.178 Bi

***

(6)
PBEsol ScZnMo, optimized geometry; formation energy from the elements = 0.171 eV per atom; energy relative to the lowest polymorph listed for this composition = 130 meV per atom; calculated density = 6.93 g/cm3
1.0
-1.963 1.726 -0.754
-2.890 -3.517 -0.524
0.314 2.125 4.047
Mo Sc Zn
1 1 1
Cartesian
-0.144 0.127 -0.055 Mo
-2.043 1.377 2.029 Sc
-2.352 -1.170 0.797 Zn

***

no.,D(E_F) (states/eV/f.u.)
1,7.68
2,5.11
3,3.68
4,3.72
5,4.10
6,2.68